A relaxed structure of PrSmSi2Pd5, computed with PBE.

a = 4.2521 Å, b = 4.2521 Å, c = 9.0633 Å
α = 90.00°, β = 90.00°, γ = 90.00°
Closest atoms and distances in Å follow each position.
Element x y z (fractional)
Pd: 0.5000 0.5000 0.5000  4 Pr 3.01, 8 Pd 3.01, 2 Si 3.34
Pd: 0.0000 0.5000 0.2642  2 Si 2.44
Pd: 0.0000 0.5000 0.7358  2 Si 2.44
Pd: 0.5000 0.0000 0.2642  2 Si 2.44
Pd: 0.5000 0.0000 0.7358  2 Si 2.44
Si: 0.5000 0.5000 0.1317  1 Si 2.39, 4 Pd 2.44
Si: 0.5000 0.5000 0.8683  1 Si 2.39, 4 Pd 2.44
Sm: 0.0000 0.0000 0.0000  8 Pd 3.20, 8 Si 3.24
Pr: 0.0000 0.0000 0.5000  12 Pd 3.01

Properties
- DOS(E_F) (states/eV/cell) = 2.78
- uncorrected formation energy (meV/atom) = -879
- total magnetization (μB per formula unit) = 0.00